No. 1
{
  "formula": "LiFeReSb",
  "functional": "GGA-PBE",
  "state": "optimized geometry",
  "lattice_angstrom": [[0.000, 3.034, 3.034], [3.034, 0.000, 3.034], [3.034, 3.034, 0.000]],
  "species": ["Li", "Fe", "Re", "Sb"],
  "fractional_positions": [[0.000, 0.000, 0.000], [0.500, 0.500, 0.500], [0.250, 0.250, 0.250], [0.750, 0.750, 0.750]],
  "volume_a3_per_cell": 55.84,
  "magmom_total_mub_per_fu": 2.40,
  "polymorph_energy_mev_per_atom": 0
}

***

No. 2
{
  "formula": "Tb2MgSi2",
  "functional": "GGA-PBE",
  "state": "optimized geometry",
  "lattice_angstrom": [[7.198, 0.000, 0.000], [0.000, 7.198, 0.000], [0.000, 0.000, 4.228]],
  "species": ["Tb", "Tb", "Tb", "Tb", "Mg", "Mg", "Si", "Si", "Si", "Si"],
  "fractional_positions": [[0.179, 0.321, 0.000], [0.321, 0.821, 0.000], [0.679, 0.179, 0.000], [0.821, 0.679, 0.000], [0.000, 0.000, 0.500], [0.500, 0.500, 0.500], [0.118, 0.618, 0.500], [0.382, 0.118, 0.500], [0.618, 0.882, 0.500], [0.882, 0.382, 0.500]],
  "total_energy_ev_per_cell": -50.49,
  "volume_a3_per_cell": 219.06,
  "magmom_total_mub_per_fu": 0.01
}